{"formula": "MgMoPb2", "functional": "PBE", "state": "optimized geometry", "rho_g_cm3": 9.81, "dft_energy_ev_per_cell": -17.6, "volume_a3_per_cell": 90.5, "lattice_angstrom": [[3.3835, -3.9841, 0.0000], [3.3835, 3.9841, 0.0000], [0.0000, 0.0000, 3.3563]], "species": ["Mg", "Mo", "Pb", "Pb"], "frac_coords": [[0.0000, 0.0000, 0.0000], [0.5000, 0.5000, 0.0000], [0.0000, 0.5000, 0.5000], [0.5000, 0.0000, 0.5000]]}

{"formula": "Pa2Tc2Ge2C", "functional": "PBE", "state": "optimized geometry", "rho_g_cm3": 10.85, "dft_energy_ev_per_cell": -61.2, "volume_a3_per_cell": 124.8, "lattice_angstrom": [[5.5494, -2.0742, 0.0000], [5.5494, 2.0742, 0.0000], [-4.1392, 0.0000, 5.4208]], "species": ["Pa", "Pa", "Tc", "Tc", "Ge", "Ge", "C"], "frac_coords": [[0.0563, 0.0563, 0.2831], [0.9437, 0.9437, 0.7169], [0.2961, 0.2961, 0.9008], [0.7039, 0.7039, 0.0992], [0.3483, 0.3483, 0.3233], [0.6517, 0.6517, 0.6767], [0.5000, 0.5000, 0.0000]]}

{"formula": "CoPtAuSe2", "functional": "PBE", "state": "optimized geometry", "rho_g_cm3": 10.46, "formation_energy_uncorrected_mev_per_atom": 647, "volume_a3_per_cell": 96.7, "lattice_angstrom": [[4.4340, 0.0000, 0.0000], [0.0000, 4.4340, 0.0000], [0.0000, 0.0000, 4.9187]], "species": ["Co", "Pt", "Au", "Se", "Se"], "frac_coords": [[0.0000, 0.0000, 0.0000], [0.5000, 0.5000, 0.5000], [0.0000, 0.0000, 0.5000], [0.0000, 0.5000, 0.0000], [0.5000, 0.0000, 0.0000]]}

{"formula": "TiNbSeN2", "functional": "PBE", "state": "optimized geometry", "rho_g_cm3": 5.48, "formation_energy_uncorrected_mev_per_atom": 312, "volume_a3_per_cell": 75.1, "lattice_angstrom": [[3.8788, 0.0000, 0.0000], [0.0000, 3.8788, 0.0000], [0.0000, 0.0000, 4.9892]], "species": ["Ti", "Nb", "Se", "N", "N"], "frac_coords": [[0.0000, 0.0000, 0.0000], [0.5000, 0.5000, 0.5000], [0.0000, 0.0000, 0.5000], [0.0000, 0.5000, 0.0000], [0.5000, 0.0000, 0.0000]]}

{"formula": "AgMo2Ru", "functional": "PBE", "state": "optimized geometry", "rho_g_cm3": 10.41, "dft_energy_ev_per_cell": -32.5, "volume_a3_per_cell": 64.0, "lattice_angstrom": [[1.6040, -2.1998, 0.0000], [1.6040, 2.1998, 0.0000], [0.0000, 0.0000, 9.0633]], "species": ["Ag", "Mo", "Mo", "Ru"], "frac_coords": [[0.0000, 0.0000, 0.0000], [0.0000, 0.0000, 0.4909], [0.5000, 0.5000, 0.7332], [0.5000, 0.5000, 0.2617]]}

{"formula": "YZnPd2", "functional": "PBE", "state": "optimized geometry", "rho_g_cm3": 8.43, "dft_energy_ev_per_cell": -20.8, "volume_a3_per_cell": 72.4, "lattice_angstrom": [[3.3552, 0.0000, 0.0000], [0.0000, 3.3552, 0.0000], [0.0000, 0.0000, 6.4275]], "species": ["Y", "Zn", "Pd", "Pd"], "frac_coords": [[0.0000, 0.0000, 0.0000], [0.0000, 0.0000, 0.5000], [0.5000, 0.5000, 0.2824], [0.5000, 0.5000, 0.7176]]}

{"formula": "Dy4AgSe2S", "functional": "PBE", "state": "optimized geometry", "rho_g_cm3": 8.24, "formation_energy_uncorrected_mev_per_atom": -1402, "volume_a3_per_cell": 190.9, "lattice_angstrom": [[7.0831, 0.0000, 0.0000], [0.0000, 3.9797, 0.0000], [-2.2722, 0.0000, 6.7739]], "species": ["Dy", "Dy", "Dy", "Dy", "Ag", "Se", "Se", "S"], "frac_coords": [[0.2402, 0.0000, 0.2368], [0.2474, 0.5000, 0.7567], [0.7526, 0.5000, 0.2433], [0.7598, 0.0000, 0.7632], [0.0000, 0.0000, 0.5000], [0.5000, 0.0000, 0.0000], [0.5000, 0.5000, 0.5000], [0.0000, 0.5000, 0.0000]]}

{"formula": "Cu2HgTeBr2", "functional": "PBE", "state": "optimized geometry", "rho_g_cm3": 5.88, "formation_energy_uncorrected_mev_per_atom": -234, "volume_a3_per_cell": 347.5, "lattice_angstrom": [[6.7691, -3.7276, 0.0000], [6.7691, 3.7276, 0.0000], [0.0000, 0.0000, 6.8860]], "species": ["Cu", "Cu", "Cu", "Cu", "Hg", "Hg", "Te", "Te", "Br", "Br", "Br", "Br"], "frac_coords": [[0.0334, 0.3188, 0.0000], [0.3188, 0.0334, 0.5000], [0.6812, 0.9666, 0.0000], [0.9666, 0.6812, 0.5000], [0.4781, 0.5219, 0.8830], [0.5219, 0.4781, 0.3830], [0.2208, 0.7792, 0.6048], [0.7792, 0.2208, 0.1048], [0.0222, 0.3586, 0.6390], [0.3586, 0.0222, 0.1390], [0.6414, 0.9778, 0.6390], [0.9778, 0.6414, 0.1390]]}

{"formula": "AlIn2Te4", "functional": "PBE", "state": "optimized geometry", "rho_g_cm3": 4.80, "formation_energy_uncorrected_mev_per_atom": -314, "volume_a3_per_cell": 265.1, "lattice_angstrom": [[-3.4596, 3.4596, 5.5382], [3.4596, -3.4596, 5.5382], [3.4596, 3.4596, -5.5382]], "species": ["Al", "In", "In", "Te", "Te", "Te", "Te"], "frac_coords": [[0.0000, 0.0000, 0.0000], [0.2500, 0.7500, 0.5000], [0.7500, 0.2500, 0.5000], [0.1398, 0.6520, 0.0000], [0.3480, 0.3480, 0.4878], [0.6520, 0.1398, 0.0000], [0.8602, 0.8602, 0.5122]]}

{"formula": "BaFeNi2P8", "functional": "PBE", "state": "optimized geometry", "rho_g_cm3": 4.69, "dft_energy_ev_per_cell": -67.0, "volume_a3_per_cell": 197.7, "lattice_angstrom": [[2.9222, 1.6871, 6.6839], [-2.9222, 1.6871, 6.6839], [0.0000, -3.3743, 6.6839]], "species": ["Ba", "Fe", "Ni", "Ni", "P", "P", "P", "P", "P", "P", "P", "P"], "frac_coords": [[0.0000, 0.0000, 0.0000], [0.5000, 0.5000, 0.5000], [0.2750, 0.2750, 0.2750], [0.7250, 0.7250, 0.7250], [0.0832, 0.4729, 0.8138], [0.1862, 0.9168, 0.5271], [0.3847, 0.3847, 0.3847], [0.4729, 0.8138, 0.0832], [0.5271, 0.1862, 0.9168], [0.6153, 0.6153, 0.6153], [0.8138, 0.0832, 0.4729], [0.9168, 0.5271, 0.1862]]}

{"formula": "BaNa2Sb6", "functional": "PBE", "state": "optimized geometry", "rho_g_cm3": 4.71, "formation_energy_uncorrected_mev_per_atom": -316, "volume_a3_per_cell": 322.2, "lattice_angstrom": [[3.3293, -5.7637, 0.0000], [3.3293, 5.7637, 0.0000], [-0.0139, 0.0000, 8.3962]], "species": ["Ba", "Na", "Na", "Sb", "Sb", "Sb", "Sb", "Sb", "Sb"], "frac_coords": [[0.0000, 0.0000, 0.0000], [0.3336, 0.6664, 0.5000], [0.6664, 0.3336, 0.5000], [0.0002, 0.5003, 0.1759], [0.9998, 0.4997, 0.8241], [0.4995, 0.4995, 0.8242], [0.5003, 0.0002, 0.1759], [0.4997, 0.9998, 0.8241], [0.5005, 0.5005, 0.1758]]}

{"formula": "ZnSi2Mo", "functional": "PBE", "state": "optimized geometry", "rho_g_cm3": 6.11, "formation_energy_uncorrected_mev_per_atom": 240, "volume_a3_per_cell": 59.1, "lattice_angstrom": [[1.7022, -2.1423, 0.0000], [1.7022, 2.1423, 0.0000], [0.0000, 0.0000, 8.1037]], "species": ["Zn", "Si", "Si", "Mo"], "frac_coords": [[0.0000, 0.0000, 0.0000], [0.0000, 0.0000, 0.5011], [0.5000, 0.5000, 0.2574], [0.5000, 0.5000, 0.7379]]}